# 1
Entry from Alexandria: a relaxed structure of TaCrCd3 (GGA-PBE).

Its symmetry is Pm-3m (221). The formation enthalpy at 0 K comes out at 1.954 eV/atom.

a b c (Å): 5.3347 5.3347 5.3347
angles (deg): 90.00 90.00 90.00
With the nearest neighbours (Å) after each atom.
Positions (direct):
Ta  0.0000  0.0000  0.0000  6 Cd 2.67
Cr  0.5000  0.5000  0.5000  12 Cd 3.77
Cd  0.0000  0.0000  0.5000  2 Ta 2.67
Cd  0.0000  0.5000  0.0000  2 Ta 2.67
Cd  0.5000  0.0000  0.0000  2 Ta 2.67

# 2
Entry from Alexandria: a relaxed structure of Ta2CrCd (GGA-PBE).

Its symmetry is P4mm (99). The formation enthalpy at 0 K comes out at 0.416 eV/atom.

a b c (Å): 2.7565 2.7565 9.1525
angles (deg): 90.00 90.00 90.00
With the nearest neighbours (Å) after each atom.
Positions (direct):
Ta  0.0000  0.0000  0.0000  8 Ta 2.76-3.05, 4 Cr 2.91
Ta  0.5000  0.5000  0.2564  8 Ta 2.76-3.05
Cr  0.5000  0.5000  0.7638  4 Cr 2.76, 4 Ta 2.91, 4 Cd 2.93
Cd  0.0000  0.0000  0.5254  4 Cd 2.76, 4 Cr 2.93

# 3
Entry from Alexandria: a relaxed structure of TaCr4Cd (GGA-PBE).

Its symmetry is F-43m (216). The formation enthalpy at 0 K comes out at 0.206 eV/atom.

a b c (Å): 4.9163 4.9163 4.9163
angles (deg): 60.00 60.00 60.00
With the nearest neighbours (Å) after each atom.
Positions (direct):
Ta  0.0000  0.0000  0.0000  12 Cr 2.88, 4 Cd 3.01
Cr  0.3759  0.3759  0.3759  6 Cr 2.44-2.48
Cr  0.3759  0.3759  0.8723  6 Cr 2.44-2.48
Cr  0.3759  0.8723  0.3759  6 Cr 2.44-2.48
Cr  0.8723  0.3759  0.3759  6 Cr 2.44-2.48
Cd  0.7500  0.7500  0.7500  12 Cr 2.88, 4 Ta 3.01

# 4
Entry from Alexandria: a relaxed structure of TaCrCd (GGA-PBE).

Its symmetry is P3m1 (156). The formation enthalpy at 0 K comes out at 0.447 eV/atom.

a b c (Å): 2.9454 2.9454 7.1730
angles (deg): 90.00 90.00 120.00
With the nearest neighbours (Å) after each atom.
Positions (direct):
Ta  0.0000  0.0000  0.0000  3 Cr 2.74, 6 Ta 2.95
Cr  0.3333  0.6667  0.7011  3 Ta 2.74, 6 Cr 2.95, 3 Cd 2.96
Cd  0.6667  0.3333  0.3642  6 Cd 2.95, 3 Cr 2.96, 3 Ta 3.12